[1]
! Ac2Ni3Ge5, optimized geometry, DFT PBE; values from VASP
&SYSTEM
  ibrav = 0, nat = 20, ntyp = 3
/
ATOMIC_SPECIES
Ge 72.64 Ge.upf
Ni 58.69 Ni.upf
Ac 227.00 Ac.upf
CELL_PARAMETERS angstrom
6.171 -0.003 -0.003
3.081 7.945 0.202
3.081 1.425 7.819
ATOMIC_POSITIONS crystal
Ge 0.608 0.752 0.031
Ge 0.392 0.248 0.969
Ni 0.629 0.486 0.256
Ni 0.371 0.514 0.744
Ge 0.499 0.250 0.251
Ge 0.892 0.969 0.248
Ac 0.372 0.875 0.382
Ni 0.871 0.744 0.514
Ni 0.129 0.256 0.486
Ni 0.250 0.000 0.000
Ge 0.001 0.749 0.750
Ge 0.750 0.499 0.501
Ge 0.108 0.031 0.752
Ac 0.128 0.618 0.125
Ge 0.501 0.750 0.749
Ge 0.250 0.501 0.499
Ac 0.628 0.125 0.618
Ni 0.750 0.000 0.000
Ac 0.872 0.382 0.875
Ge 0.999 0.251 0.250
! total magnetization = 0.0 μB per cell
! calculated volume = 381.7 Å³ per cell
! formation energy from the elements = -590 kJ/mol of formula units
! E_tot = -5.476 eV per atom


[2]
! Ac4NiGe, optimized geometry, DFT PBE; values from VASP
&SYSTEM
  ibrav = 0, nat = 6, ntyp = 3
/
ATOMIC_SPECIES
Ac 227.00 Ac.upf
Ge 72.64 Ge.upf
Ni 58.69 Ni.upf
CELL_PARAMETERS angstrom
-2.679 3.890 -2.323
0.882 -2.203 -4.706
-6.415 -4.013 0.645
ATOMIC_POSITIONS crystal
Ac 0.002 0.498 0.737
Ac 0.501 0.996 0.259
Ge 0.501 0.497 0.998
Ac 0.502 0.998 0.738
Ni 0.002 0.997 0.498
Ac 0.001 0.497 0.259
! total magnetization = 0.0 μB per cell
! calculated volume = 210.7 Å³ per cell
! formation energy from the elements = -102 kJ/mol of formula units
! E_tot = -4.648 eV per atom


[3]
! Ac3NiGe, optimized geometry, DFT PBE; values from VASP
&SYSTEM
  ibrav = 0, nat = 5, ntyp = 3
/
ATOMIC_SPECIES
Ac 227.00 Ac.upf
Ge 72.64 Ge.upf
Ni 58.69 Ni.upf
CELL_PARAMETERS angstrom
5.561 0.000 0.000
0.000 5.561 0.000
0.000 0.000 5.561
ATOMIC_POSITIONS crystal
Ac 0.000 0.000 0.500
Ac 0.000 0.500 0.000
Ge 0.500 0.500 0.500
Ac 0.500 0.000 0.000
Ni 0.000 0.000 0.000
! total magnetization = 0.0 μB per cell
! calculated volume = 172.0 Å³ per cell
! formation energy from the elements = -67 kJ/mol of formula units
! E_tot = -4.684 eV per atom


[4]
! Ac2Ni2Ge3, optimized geometry, DFT PBE; values from VASP
&SYSTEM
  ibrav = 0, nat = 7, ntyp = 3
/
ATOMIC_SPECIES
Ni 58.69 Ni.upf
Ge 72.64 Ge.upf
Ac 227.00 Ac.upf
CELL_PARAMETERS angstrom
4.390 0.000 0.000
-2.195 5.170 0.068
0.000 -2.297 6.650
ATOMIC_POSITIONS crystal
Ni 0.152 0.304 0.304
Ge 0.390 0.779 0.569
Ni 0.848 0.696 0.696
Ac 0.850 0.701 0.216
Ge 0.610 0.221 0.431
Ge 0.500 0.000 0.000
Ac 0.150 0.299 0.784
! total magnetization = 0.0 μB per cell
! calculated volume = 151.6 Å³ per cell
! formation energy from the elements = -307 kJ/mol of formula units
! E_tot = -5.260 eV per atom